#1
Computed, not measured: a geometry-optimized Pm3GaRh3 structure at the GGA-PBE level of DFT.

Its space group is Cmcm.

Unit cell a=4.152 b=5.696 c=13.866 alpha=90.00 beta=90.00 gamma=111.37
Fractional coordinates of all 14 atoms:
Pm 0.204 0.407 0.894
Pm 0.796 0.593 0.394
Rh 0.757 0.515 0.750
Rh 0.081 0.162 0.412
Pm 0.520 0.041 0.250
Ga 0.500 0.000 0.000
Pm 0.204 0.407 0.606
Rh 0.243 0.485 0.250
Rh 0.081 0.162 0.088
Rh 0.919 0.838 0.912
Ga 0.500 0.000 0.500
Rh 0.919 0.838 0.588
Pm 0.480 0.959 0.750
Pm 0.796 0.593 0.106

#2
Computed, not measured: a geometry-optimized Pm3GaRh3 structure at the GGA-PBE level of DFT.

Its space group is P6_3/m.

Unit cell a=5.670 b=8.510 c=8.510 alpha=120.00 beta=90.00 gamma=90.00
Fractional coordinates of all 14 atoms:
Rh 0.250 0.698 0.638
Pm 0.250 0.313 0.370
Rh 0.250 0.362 0.060
Pm 0.250 0.057 0.687
Rh 0.750 0.302 0.362
Ga 0.750 0.333 0.667
Rh 0.250 0.940 0.302
Rh 0.750 0.638 0.940
Pm 0.750 0.943 0.313
Ga 0.250 0.667 0.333
Rh 0.750 0.060 0.698
Pm 0.750 0.370 0.057
Pm 0.750 0.687 0.630
Pm 0.250 0.630 0.943

Which structure wins on stability? #1 wins.

#1
Computed, not measured: a geometry-optimized Pm2GaRh2 structure at the GGA-PBE level of DFT.

Its space group is Ibam.

Unit cell a=6.036 b=6.895 c=7.188 alpha=118.66 beta=114.82 gamma=90.00
Fractional coordinates of all 10 atoms:
Rh 0.892 0.153 0.784
Ga 0.250 0.500 0.000
Pm 0.855 0.692 0.711
Ga 0.750 0.500 0.000
Pm 0.355 0.019 0.711
Rh 0.108 0.847 0.216
Rh 0.392 0.631 0.784
Rh 0.608 0.369 0.216
Pm 0.145 0.308 0.289
Pm 0.645 0.981 0.289

#2
Computed, not measured: a geometry-optimized Pm2GaRh2 structure at the GGA-PBE level of DFT.

Its space group is C2/c.

Unit cell a=5.817 b=5.817 c=7.727 alpha=77.28 beta=77.28 gamma=57.22
Fractional coordinates of all 10 atoms:
Rh 0.731 0.003 0.507
Pm 0.500 0.793 0.851
Pm 0.207 0.500 0.649
Ga 0.140 0.860 0.250
Rh 0.997 0.269 0.993
Pm 0.793 0.500 0.351
Pm 0.500 0.207 0.149
Rh 0.269 0.997 0.493
Ga 0.860 0.140 0.750
Rh 0.003 0.731 0.007

Which structure wins on stability? #2 wins.

#1
Computed, not measured: a geometry-optimized Pm2Ga3Rh2 structure at the GGA-PBE level of DFT.

Its space group is Cmcm.

Unit cell a=4.260 b=7.027 c=9.592 alpha=90.00 beta=102.83 gamma=90.00
Fractional coordinates of all 14 atoms:
Ga 0.561 0.071 0.122
Rh 0.692 0.545 0.383
Rh 0.692 0.955 0.383
Rh 0.308 0.455 0.617
Pm 0.942 0.250 0.885
Pm 0.838 0.750 0.675
Ga 0.439 0.571 0.878
Pm 0.162 0.250 0.325
Ga 0.219 0.750 0.439
Ga 0.781 0.250 0.561
Ga 0.561 0.429 0.122
Rh 0.308 0.045 0.617
Pm 0.058 0.750 0.115
Ga 0.439 0.929 0.878

#2
Computed, not measured: a geometry-optimized Pm2Ga3Rh2 structure at the GGA-PBE level of DFT.

Its space group is C2/m.

Unit cell a=4.187 b=5.525 c=7.130 alpha=112.61 beta=90.00 gamma=112.27
Fractional coordinates of all 7 atoms:
Rh 0.868 0.737 0.794
Pm 0.855 0.709 0.231
Ga 0.365 0.730 0.557
Rh 0.132 0.263 0.206
Pm 0.145 0.291 0.769
Ga 0.635 0.270 0.443
Ga 0.500 0.000 0.000

Which structure wins on stability? #2 wins.

#1
Computed, not measured: a geometry-optimized PmGa3Rh structure at the GGA-PBE level of DFT.

Its space group is P2_1/c.

Unit cell a=5.812 b=7.703 c=8.464 alpha=97.15 beta=90.00 gamma=90.00
Fractional coordinates of all 20 atoms:
Rh 0.063 0.195 0.959
Rh 0.937 0.805 0.041
Pm 0.622 0.693 0.631
Ga 0.172 0.497 0.104
Ga 0.672 0.003 0.896
Rh 0.563 0.305 0.041
Ga 0.866 0.131 0.212
Ga 0.366 0.369 0.788
Ga 0.328 0.997 0.104
Ga 0.828 0.503 0.896
Pm 0.122 0.807 0.369
Ga 0.134 0.869 0.788
Ga 0.889 0.441 0.365
Pm 0.378 0.307 0.369
Pm 0.878 0.193 0.631
Ga 0.634 0.631 0.212
Rh 0.437 0.695 0.959
Ga 0.389 0.059 0.635
Ga 0.111 0.559 0.635
Ga 0.611 0.941 0.365

#2
Computed, not measured: a geometry-optimized PmGa3Rh structure at the GGA-PBE level of DFT.

Its space group is Pm-3m.

Unit cell a=4.746 b=4.746 c=4.746 alpha=90.00 beta=90.00 gamma=90.00
Fractional coordinates of all 5 atoms:
Ga 0.000 0.000 0.500
Ga 0.500 0.000 0.000
Rh 0.000 0.000 0.000
Ga 0.000 0.500 0.000
Pm 0.500 0.500 0.500

#3
Computed, not measured: a geometry-optimized PmGa3Rh structure at the GGA-PBE level of DFT.

Its space group is P6_3/mmc.

Unit cell a=5.680 b=6.245 c=6.245 alpha=120.00 beta=90.00 gamma=90.00
Fractional coordinates of all 10 atoms:
Ga 0.250 0.808 0.192
Ga 0.750 0.192 0.383
Ga 0.750 0.192 0.808
Ga 0.250 0.808 0.617
Ga 0.250 0.383 0.192
Pm 0.250 0.333 0.667
Ga 0.750 0.617 0.808
Pm 0.750 0.667 0.333
Rh 0.500 0.000 0.000
Rh 0.000 0.000 0.000

Which structure wins on stability? #3 wins.

#1
Computed, not measured: a geometry-optimized PmSmGaRh structure at the GGA-PBE level of DFT.

Its space group is Amm2.

Unit cell a=4.368 b=3.953 c=5.979 alpha=90.00 beta=111.42 gamma=90.00
Fractional coordinates of all 4 atoms:
Sm 0.150 0.000 0.301
Rh 0.415 0.000 0.830
Pm 0.865 0.500 0.730
Ga 0.569 0.500 0.139

#2
Computed, not measured: a geometry-optimized PmSmGaRh structure at the GGA-PBE level of DFT.

Its space group is F-43m.

Unit cell a=5.080 b=5.080 c=5.080 alpha=60.00 beta=60.00 gamma=60.00
Fractional coordinates of all 4 atoms:
Pm 0.000 0.000 0.000
Sm 0.500 0.500 0.500
Rh 0.750 0.750 0.750
Ga 0.250 0.250 0.250

Which structure wins on stability? #1 wins.

#1
Computed, not measured: a geometry-optimized PmTmGaRh structure at the GGA-PBE level of DFT.

Its space group is Amm2.

Unit cell a=4.277 b=3.925 c=5.896 alpha=90.00 beta=111.26 gamma=90.00
Fractional coordinates of all 4 atoms:
Rh 0.414 0.000 0.827
Tm 0.867 0.500 0.734
Ga 0.567 0.500 0.134
Pm 0.153 0.000 0.305

#2
Computed, not measured: a geometry-optimized PmTmGaRh structure at the GGA-PBE level of DFT.

Its space group is F-43m.

Unit cell a=4.998 b=4.998 c=4.998 alpha=60.00 beta=60.00 gamma=60.00
Fractional coordinates of all 4 atoms:
Ga 0.750 0.750 0.750
Pm 0.000 0.000 0.000
Rh 0.250 0.250 0.250
Tm 0.500 0.500 0.500

Which structure wins on stability? #1 wins.